[1]
Density functional theory data (PBE) for a relaxed MgZn12Ag6 crystal.

formation energy: -0.02 eV/atom

```
data_MgZn12Ag6
_space_group_name_H-M_alt 'R -3'
_space_group_IT_number 148
_space_group_name_Hall '-R 3'
_cell_length_a 10.7917
_cell_length_b 10.7917
_cell_length_c 9.2179
_cell_angle_alpha 90.00
_cell_angle_beta 90.00
_cell_angle_gamma 120.00
loop_
_atom_site_label
_atom_site_fract_x
_atom_site_fract_y
_atom_site_fract_z
Mg1 0.0000 0.0000 0.0000
Zn1 0.0010 0.7385 0.0008
Zn2 0.0692 0.5359 0.1191
Ag1 0.0876 0.9097 0.7488
```

=====

[2]
Density functional theory data (PBE) for a relaxed Mg2Zn4Ag5 crystal.

formation energy: -0.02 eV/atom

```
data_Mg2Zn4Ag5
_space_group_name_H-M_alt 'C 1 2/m 1'
_space_group_IT_number 12
_space_group_name_Hall '-C 2y'
_cell_length_a 12.134
_cell_length_b 5.457
_cell_length_c 8.052
_cell_angle_alpha 90.00
_cell_angle_beta 131.49
_cell_angle_gamma 90.00
loop_
_atom_site_label
_atom_site_fract_x
_atom_site_fract_y
_atom_site_fract_z
Mg1 0.195 0.000 0.195
Zn1 0.244 0.500 0.078
Zn2 0.244 0.500 0.410
Ag1 0.000 0.250 0.318
Ag2 0.000 0.500 0.000
```

=====

[3]
Density functional theory data (PBE) for a relaxed MgZnAg2 crystal.

formation energy: -0.13 eV/atom

```
data_MgZnAg2
_space_group_name_H-M_alt 'C 1 m 1'
_space_group_IT_number 8
_space_group_name_Hall 'C -2y'
_cell_length_a 9.930
_cell_length_b 3.169
_cell_length_c 4.677
_cell_angle_alpha 90.00
_cell_angle_beta 109.86
_cell_angle_gamma 90.00
loop_
_atom_site_label
_atom_site_fract_x
_atom_site_fract_y
_atom_site_fract_z
Mg1 0.000 0.000 0.000
Zn1 0.253 0.500 0.313
Ag1 0.246 0.000 0.804
Ag2 0.491 0.000 0.488
```

=====

[4]
Density functional theory data (PBE) for a relaxed MgZn2Ag crystal.

formation energy: -0.07 eV/atom

```
data_MgZn2Ag
_space_group_name_H-M_alt 'I m m 2'
_space_group_IT_number 44
_space_group_name_Hall 'I 2 -2'
_cell_length_a 3.221
_cell_length_b 4.583
_cell_length_c 9.099
_cell_angle_alpha 90.00
_cell_angle_beta 90.00
_cell_angle_gamma 90.00
loop_
_atom_site_label
_atom_site_fract_x
_atom_site_fract_y
_atom_site_fract_z
Mg1 0.000 0.000 0.000
Zn1 0.000 0.000 0.492
Zn2 0.000 0.500 0.764
Ag1 0.000 0.500 0.236
```

=====

[5]
Density functional theory data (PBE) for a relaxed Mg2ZnAg6 crystal.

formation energy: -0.04 eV/atom
offset from the most stable computed form: 94 meV per atom

```
data_Mg2ZnAg6
_space_group_name_H-M_alt 'I m m m'
_space_group_IT_number 71
_space_group_name_Hall '-I 2 2'
_cell_length_a 4.772
_cell_length_b 7.976
_cell_length_c 8.691
_cell_angle_alpha 90.00
_cell_angle_beta 90.00
_cell_angle_gamma 90.00
loop_
_atom_site_label
_atom_site_fract_x
_atom_site_fract_y
_atom_site_fract_z
Mg1 0.000 0.000 0.175
Zn1 0.000 0.000 0.500
Ag1 0.000 0.312 0.336
Ag2 0.000 0.318 0.000
```

=====

[6]
Density functional theory data (PBE) for a relaxed Mg2ZnAg crystal.

formation energy: -0.10 eV/atom

```
data_Mg2ZnAg
_space_group_name_H-M_alt 'P m m 2'
_space_group_IT_number 25
_space_group_name_Hall 'P 2 -2'
_cell_length_a 3.274
_cell_length_b 3.597
_cell_length_c 6.294
_cell_angle_alpha 90.00
_cell_angle_beta 90.00
_cell_angle_gamma 90.00
loop_
_atom_site_label
_atom_site_fract_x
_atom_site_fract_y
_atom_site_fract_z
Mg1 0.000 0.000 0.000
Mg2 0.500 0.500 0.299
Zn1 0.000 0.000 0.532
Ag1 0.500 0.500 0.764
```

=====

[7]
Density functional theory data (PBE) for a relaxed MgZn4Ag crystal.

formation energy: -0.09 eV/atom

```
data_MgZn4Ag
_space_group_name_H-M_alt 'F -4 3 m'
_space_group_IT_number 216
_space_group_name_Hall 'F -4 2 3'
_cell_length_a 7.276
_cell_length_b 7.276
_cell_length_c 7.276
_cell_angle_alpha 90.00
_cell_angle_beta 90.00
_cell_angle_gamma 90.00
loop_
_atom_site_label
_atom_site_fract_x
_atom_site_fract_y
_atom_site_fract_z
Mg1 0.000 0.000 0.000
Zn1 0.125 0.125 0.375
Ag1 0.250 0.250 0.750
```

=====

[8]
Density functional theory data (PBE) for a relaxed Mg2ZnAg2 crystal.

formation energy: 0.07 eV/atom
offset from the most stable computed form: 200 meV per atom

```
data_Mg2ZnAg2
_space_group_name_H-M_alt 'I 4/m m m'
_space_group_IT_number 139
_space_group_name_Hall '-I 4 2'
_cell_length_a 3.797
_cell_length_b 3.797
_cell_length_c 14.616
_cell_angle_alpha 90.00
_cell_angle_beta 90.00
_cell_angle_gamma 90.00
loop_
_atom_site_label
_atom_site_fract_x
_atom_site_fract_y
_atom_site_fract_z
Mg1 0.000 0.000 0.100
Zn1 0.000 0.000 0.500
Ag1 0.000 0.500 0.250
```